# 1
! HfTi3S (GGA-PBE, optimized geometry); values from VASP
&SYSTEM
  ibrav = 0, nat = 5, ntyp = 3
/
ATOMIC_SPECIES
Hf 178.49 Hf.upf
Ti 47.87 Ti.upf
S 32.06 S.upf
ATOMIC_POSITIONS crystal
Hf 0.000 0.000 0.000
Ti 0.000 0.000 0.500
Ti 0.000 0.500 0.000
Ti 0.500 0.000 0.000
S 0.500 0.500 0.500
CELL_PARAMETERS angstrom
4.873 0.000 0.000
0.000 4.873 0.000
0.000 0.000 4.873
! Formation energy without anion corrections = 1.297 eV/atom
! Final energy = -6.2565 eV/atom
! E above lowest polymorph = 1.829 eV/atom

---

# 2
! Li4ThGa (GGA-PBE, optimized geometry); values from VASP
&SYSTEM
  ibrav = 0, nat = 6, ntyp = 3
/
ATOMIC_SPECIES
Li 6.94 Li.upf
Th 232.04 Th.upf
Ga 69.72 Ga.upf
ATOMIC_POSITIONS crystal
Li 0.123 0.123 0.123
Li 0.123 0.123 0.631
Li 0.123 0.631 0.123
Li 0.631 0.123 0.123
Th 0.500 0.500 0.500
Ga 0.750 0.750 0.750
CELL_PARAMETERS angstrom
0.000 3.838 3.838
3.838 0.000 3.838
3.838 3.838 0.000
! ΔH_f (0 K) = 0.062 eV per atom
! Final energy = -2.9552 eV/atom

---

# 3
! PuZrTiRh (GGA-PBE, optimized geometry); values from VASP
&SYSTEM
  ibrav = 0, nat = 4, ntyp = 4
/
ATOMIC_SPECIES
Pu 244.00 Pu.upf
Zr 91.22 Zr.upf
Ti 47.87 Ti.upf
Rh 102.91 Rh.upf
ATOMIC_POSITIONS crystal
Pu 0.000 0.000 0.000
Zr 0.750 0.750 0.750
Ti 0.250 0.250 0.250
Rh 0.500 0.500 0.500
CELL_PARAMETERS angstrom
0.000 3.345 3.345
3.345 0.000 3.345
3.345 3.345 0.000
! ΔH_f (0 K) = -0.081 eV per atom
! Final energy = -9.6128 eV/atom

---

# 4
! Pr4HoSb5 (GGA-PBE, optimized geometry); values from VASP
&SYSTEM
  ibrav = 0, nat = 10, ntyp = 3
/
ATOMIC_SPECIES
Pr 140.91 Pr.upf
Ho 164.93 Ho.upf
Sb 121.76 Sb.upf
ATOMIC_POSITIONS crystal
Pr 0.099 0.099 0.000
Pr 0.301 0.301 0.000
Pr 0.699 0.699 0.000
Pr 0.901 0.901 0.000
Ho 0.500 0.500 0.000
Sb 0.000 0.000 0.000
Sb 0.200 0.200 0.000
Sb 0.402 0.402 0.000
Sb 0.598 0.598 0.000
Sb 0.800 0.800 0.000
CELL_PARAMETERS angstrom
-2.262 2.262 15.970
2.262 -2.262 15.970
2.262 2.262 -15.970
! Formation energy without anion corrections = -1.167 eV/atom
! Final energy = -5.5982 eV/atom

---

# 5
! Ba2NbTlC (GGA-PBE, optimized geometry); values from VASP
&SYSTEM
  ibrav = 0, nat = 5, ntyp = 4
/
ATOMIC_SPECIES
Ba 137.33 Ba.upf
Nb 92.91 Nb.upf
Tl 204.38 Tl.upf
C 12.01 C.upf
ATOMIC_POSITIONS crystal
Ba 0.000 0.500 0.000
Ba 0.500 0.000 0.000
Nb 0.000 0.000 0.000
Tl 0.500 0.500 0.500
C 0.000 0.000 0.500
CELL_PARAMETERS angstrom
6.379 0.000 0.000
0.000 6.379 0.000
0.000 0.000 4.104
! ΔH_f (0 K) = 0.769 eV per atom
! Final energy = -4.3324 eV/atom

---

# 6
! PuThV4 (GGA-PBE, optimized geometry); values from VASP
&SYSTEM
  ibrav = 0, nat = 6, ntyp = 3
/
ATOMIC_SPECIES
Pu 244.00 Pu.upf
Th 232.04 Th.upf
V 50.94 V.upf
ATOMIC_POSITIONS crystal
Pu 0.000 0.000 0.000
Th 0.750 0.750 0.750
V 0.374 0.374 0.374
V 0.374 0.374 0.877
V 0.374 0.877 0.374
V 0.877 0.374 0.374
CELL_PARAMETERS angstrom
0.000 3.768 3.768
3.768 0.000 3.768
3.768 3.768 0.000
! ΔH_f (0 K) = 0.224 eV per atom
! Final energy = -9.4803 eV/atom